[1]
Below is Sr2ScTl at its PBEsol-relaxed geometry, with properties calculated at the meta-GGA SCAN level.

Lattice parameters (Å, degrees): 5.6977 5.6977 5.6977 60.00 60.00 60.00
Element x y z (fractional)
Sc1 0.0000 0.0000 0.0000
Sr1 0.2500 0.2500 0.2500
Sr2 0.7500 0.7500 0.7500
Tl1 0.5000 0.5000 0.5000

- Energy above the lowest structure with this stoichiometry: 0.190 eV/atom
- Energy relative to the elements: 0.014 eV/atom

[2]
Below is Co2HgOs at its PBEsol-relaxed geometry, with properties calculated at the meta-GGA SCAN level.

Lattice parameters (Å, degrees): 2.7168 2.7168 8.8088 81.13 81.13 60.00
Element x y z (fractional)
Co1 0.0030 0.0030 0.9910
Co2 0.7402 0.7402 0.7795
Os1 0.2609 0.2609 0.2174
Hg1 0.4960 0.4960 0.5120

- Energy relative to the elements: 0.544 eV/atom

[3]
Below is PdNF2 at its PBEsol-relaxed geometry, with properties calculated at the meta-GGA SCAN level.

Lattice parameters (Å, degrees): 3.9103 3.9103 3.9103 60.00 60.00 60.00
Element x y z (fractional)
N1 0.0000 0.0000 0.0000
Pd1 0.5000 0.5000 0.5000
F1 0.2500 0.2500 0.2500
F2 0.7500 0.7500 0.7500

- Energy above the lowest structure with this stoichiometry: 0.000 eV/atom
- Formation energy (no corrections): 0.59 eV/atom

[4]
Below is Nb3IF at its PBEsol-relaxed geometry, with properties calculated at the meta-GGA SCAN level.

Lattice parameters (Å, degrees): 5.0140 5.0140 5.0140 90.00 90.00 90.00
Element x y z (fractional)
I1 0.0000 0.0000 0.0000
Nb1 0.0000 0.5000 0.0000
Nb2 0.0000 0.0000 0.5000
Nb3 0.5000 0.0000 0.0000
F1 0.5000 0.5000 0.5000

- Formation energy (no corrections): 1.80 eV/atom

[5]
Below is Pb3SeI at its PBEsol-relaxed geometry, with properties calculated at the meta-GGA SCAN level.

Lattice parameters (Å, degrees): 5.7002 5.7002 5.7002 90.00 90.00 90.00
Element x y z (fractional)
Pb1 0.0000 0.5000 0.0000
Pb2 0.0000 0.0000 0.5000
Pb3 0.5000 0.0000 0.0000
I1 0.5000 0.5000 0.5000
Se1 0.0000 0.0000 0.0000

- Formation energy (no corrections): 0.20 eV/atom

[6]
Below is ScMn2Cr at its PBEsol-relaxed geometry, with properties calculated at the meta-GGA SCAN level.

Lattice parameters (Å, degrees): 2.9258 4.1717 4.1717 90.00 90.00 90.00
Element x y z (fractional)
Cr1 0.5000 0.0000 0.0000
Mn1 0.0000 0.0000 0.5000
Mn2 0.0000 0.5000 0.0000
Sc1 0.5000 0.5000 0.5000

- Energy above the lowest structure with this stoichiometry: 0.000 eV/atom
- Energy relative to the elements: 0.077 eV/atom

[7]
Below is Be8Au at its PBEsol-relaxed geometry, with properties calculated at the meta-GGA SCAN level.

Lattice parameters (Å, degrees): 3.2755 5.2561 5.2561 84.43 71.85 71.85
Element x y z (fractional)
Be1 0.3231 0.0000 0.3537
Be2 0.6769 0.0000 0.6463
Be3 0.6554 0.3446 0.3446
Be4 0.3231 0.3537 0.0000
Be5 0.0000 0.3446 0.6554
Be6 0.6769 0.6463 0.0000
Be7 0.3446 0.6554 0.6554
Be8 0.0000 0.6554 0.3446
Au1 0.0000 0.0000 0.0000

- Energy relative to the elements: -0.045 eV/atom

[8]
Below is Ce2Zr2O7 at its PBEsol-relaxed geometry, with properties calculated at the meta-GGA SCAN level.

Lattice parameters (Å, degrees): 7.5039 7.5039 7.5039 60.00 60.00 60.00
Element x y z (fractional)
Ce1 0.6250 0.6250 0.6250
Ce2 0.6250 0.6250 0.1250
Ce3 0.6250 0.1250 0.6250
Ce4 0.1250 0.6250 0.6250
Zr1 0.1250 0.6250 0.1250
Zr2 0.1250 0.1250 0.6250
Zr3 0.6250 0.1250 0.1250
Zr4 0.1250 0.1250 0.1250
O1 0.4634 0.0366 0.0366
O2 0.7866 0.2134 0.2134
O3 0.7500 0.7500 0.7500
O4 0.0366 0.4634 0.4634
O5 0.2134 0.2134 0.7866
O6 0.2134 0.7866 0.2134
O7 0.0366 0.4634 0.0366
O8 0.2134 0.7866 0.7866
O9 0.0366 0.0366 0.4634
O10 0.5000 0.5000 0.5000
O11 0.7866 0.2134 0.7866
O12 0.4634 0.0366 0.4634
O13 0.4634 0.4634 0.0366
O14 0.7866 0.7866 0.2134

- Formation energy (no corrections): -3.75 eV/atom

[9]
Below is ScFe3Pb at its PBEsol-relaxed geometry, with properties calculated at the meta-GGA SCAN level.

Lattice parameters (Å, degrees): 4.4695 4.4695 4.4695 90.00 90.00 90.00
Element x y z (fractional)
Pb1 0.5000 0.5000 0.5000
Sc1 0.0000 0.0000 0.0000
Fe1 0.0000 0.5000 0.0000
Fe2 0.0000 0.0000 0.5000
Fe3 0.5000 0.0000 0.0000

- Energy relative to the elements: 1.340 eV/atom

[10]
Below is MnZnAg2 at its PBEsol-relaxed geometry, with properties calculated at the meta-GGA SCAN level.

Lattice parameters (Å, degrees): 2.8229 2.8229 7.5059 90.00 90.00 90.00
Element x y z (fractional)
Ag1 0.0000 0.0000 0.9848
Ag2 0.5000 0.5000 0.2622
Mn1 0.0000 0.0000 0.5161
Zn1 0.5000 0.5000 0.7369

- Energy relative to the elements: -0.041 eV/atom

[11]
Below is SbTeRu2 at its PBEsol-relaxed geometry, with properties calculated at the meta-GGA SCAN level.

Lattice parameters (Å, degrees): 3.2507 4.5999 4.5999 90.00 90.00 90.00
Element x y z (fractional)
Ru1 0.0000 0.0000 0.5000
Ru2 0.0000 0.5000 0.0000
Sb1 0.5000 0.5000 0.5000
Te1 0.5000 0.0000 0.0000

- Formation energy (no corrections): 0.26 eV/atom

[12]
Below is FeTc2Ni at its PBEsol-relaxed geometry, with properties calculated at the meta-GGA SCAN level.

Lattice parameters (Å, degrees): 4.1381 4.1381 4.1381 60.00 60.00 60.00
Element x y z (fractional)
Fe1 0.5000 0.5000 0.5000
Ni1 0.2500 0.2500 0.2500
Tc1 0.0000 0.0000 0.0000
Tc2 0.7500 0.7500 0.7500

- Energy above the lowest structure with this stoichiometry: 0.099 eV/atom
- Energy relative to the elements: 0.156 eV/atom

[13]
Below is Y2ScBeAl at its PBEsol-relaxed geometry, with properties calculated at the meta-GGA SCAN level.

Lattice parameters (Å, degrees): 5.0380 5.4048 5.4048 90.00 90.00 90.00
Element x y z (fractional)
Y1 0.0000 0.0000 0.5000
Y2 0.0000 0.5000 0.0000
Sc1 0.5000 0.0000 0.0000
Al1 0.0000 0.0000 0.0000
Be1 0.5000 0.5000 0.5000

- Energy relative to the elements: 0.695 eV/atom

[14]
Below is Sc6Mo7 at its PBEsol-relaxed geometry, with properties calculated at the meta-GGA SCAN level.

Lattice parameters (Å, degrees): 5.3130 5.3130 10.2231 74.94 74.94 60.00
Element x y z (fractional)
Mo1 0.4060 0.4060 0.2760
Mo2 0.9121 0.4060 0.2760
Mo3 0.4060 0.9121 0.2760
Mo4 0.5940 0.5940 0.7240
Mo5 0.5940 0.0879 0.7240
Mo6 0.0879 0.5940 0.7240
Mo7 0.5000 0.5000 0.5000
Sc1 0.9516 0.9516 0.1451
Sc2 0.0484 0.0484 0.8549
Sc3 0.8498 0.8498 0.4506
Sc4 0.1502 0.1502 0.5494
Sc5 0.6677 0.6677 0.9968
Sc6 0.3323 0.3323 0.0032

- Energy relative to the elements: 0.068 eV/atom

[15]
Below is Zn2PBr at its PBEsol-relaxed geometry, with properties calculated at the meta-GGA SCAN level.

Lattice parameters (Å, degrees): 3.5434 5.3492 5.3492 83.16 70.66 70.66
Element x y z (fractional)
Br1 0.5000 0.0000 0.0000
P1 0.5000 0.5000 0.5000
Zn1 0.0000 0.2831 0.7169
Zn2 0.0000 0.7169 0.2831

- Energy above the lowest structure with this stoichiometry: 0.606 eV/atom
- Formation energy (no corrections): 0.09 eV/atom

[16]
Below is ZnAg2Au at its PBEsol-relaxed geometry, with properties calculated at the meta-GGA SCAN level.

Lattice parameters (Å, degrees): 2.7668 5.0780 5.3613 116.21 101.51 97.10
Element x y z (fractional)
Zn1 0.5000 0.0000 0.0000
Au1 0.0000 0.5000 0.0000
Ag1 0.0000 0.0000 0.5000
Ag2 0.5000 0.5000 0.5000

- Energy relative to the elements: -0.048 eV/atom

[17]
Below is IrPt3 at its PBEsol-relaxed geometry, with properties calculated at the meta-GGA SCAN level.

Lattice parameters (Å, degrees): 2.7547 2.7547 7.7828 90.00 90.00 90.00
Element x y z (fractional)
Ir1 0.0000 0.0000 0.0000
Pt1 0.0000 0.0000 0.5000
Pt2 0.5000 0.5000 0.2428
Pt3 0.5000 0.5000 0.7572

- Energy relative to the elements: 0.076 eV/atom

[18]
Below is Na2GePd2 at its PBEsol-relaxed geometry, with properties calculated at the meta-GGA SCAN level.

Lattice parameters (Å, degrees): 4.8960 6.2685 6.2685 90.00 90.00 90.00
Element x y z (fractional)
Na1 0.5000 0.1700 0.6700
Na2 0.5000 0.6700 0.8300
Na3 0.5000 0.8300 0.3300
Na4 0.5000 0.3300 0.1700
Ge1 0.0000 0.0000 0.0000
Ge2 0.0000 0.5000 0.5000
Pd1 0.0000 0.3503 0.8503
Pd2 0.0000 0.8503 0.6497
Pd3 0.0000 0.6497 0.1497
Pd4 0.0000 0.1497 0.3503

- Energy relative to the elements: -0.374 eV/atom

[19]
Below is Ag2Pt at its PBEsol-relaxed geometry, with properties calculated at the meta-GGA SCAN level.

Lattice parameters (Å, degrees): 2.8067 6.9317 9.7917 90.19 90.00 90.00
Element x y z (fractional)
Ag1 0.2500 0.3400 0.2893
Ag2 0.7500 0.0035 0.3734
Ag3 0.2500 0.6689 0.4534
Ag4 0.7500 0.3311 0.5466
Ag5 0.2500 0.9965 0.6266
Ag6 0.7500 0.6600 0.7107
Ag7 0.7500 0.9931 0.8763
Ag8 0.2500 0.0069 0.1237
Pt1 0.2500 0.3271 0.7971
Pt2 0.2500 0.6609 0.9623
Pt3 0.7500 0.3391 0.0377
Pt4 0.7500 0.6729 0.2029

- Energy above the lowest structure with this stoichiometry: 0.014 eV/atom
- Energy relative to the elements: 0.004 eV/atom

[20]
Below is Li6V3P8O29 at its PBEsol-relaxed geometry, with properties calculated at the meta-GGA SCAN level.

Lattice parameters (Å, degrees): 9.7345 9.7345 13.9508 90.00 90.00 120.00
Element x y z (fractional)
Li1 0.7602 0.0970 0.9329
Li2 0.9030 0.2398 0.4329
Li3 0.7602 0.6632 0.4329
Li4 0.0000 0.0000 0.6187
Li5 0.0000 0.0000 0.1187
Li6 0.9030 0.6632 0.9329
Li7 0.3368 0.2398 0.9329
Li8 0.3368 0.0970 0.4329
Li9 0.3333 0.6667 0.4011
Li10 0.3333 0.6667 0.9011
Li11 0.6667 0.3333 0.9666
Li12 0.6667 0.3333 0.4666
V1 0.0995 0.7703 0.7543
V2 0.2297 0.9005 0.2543
V3 0.0995 0.3292 0.2543
V4 0.2297 0.3292 0.7543
V5 0.6708 0.9005 0.7543
V6 0.6708 0.7703 0.2543
P1 0.7598 0.1020 0.1544
P2 0.8980 0.2402 0.6544
P3 0.7598 0.6577 0.6544
P4 0.0000 0.0000 0.8788
P5 0.0000 0.0000 0.3788
P6 0.8980 0.6577 0.1544
P7 0.9719 0.5537 0.3358
P8 0.3423 0.2402 0.1544
P9 0.9719 0.4182 0.8358
P10 0.3423 0.1020 0.6544
P11 0.4463 0.0281 0.8358
P12 0.3333 0.6667 0.6371
P13 0.3333 0.6667 0.1371
P14 0.5818 0.0281 0.3358
P15 0.4463 0.4182 0.3358
P16 0.5818 0.5537 0.8358
O1 0.6824 0.1527 0.4073
O2 0.7482 0.0811 0.6775
O3 0.8473 0.3176 0.9073
O4 0.9189 0.2518 0.1775
O5 0.7844 0.9591 0.1774
O6 0.8537 0.0072 0.8390
O7 0.7844 0.8253 0.6774
O8 0.6824 0.5298 0.9073
O9 0.7482 0.6671 0.1775
O10 0.9928 0.1463 0.3390
O11 0.0409 0.2156 0.6774
O12 0.8537 0.8465 0.3390
O13 0.0000 0.0000 0.9864
O14 0.0000 0.0000 0.4864
O15 0.9928 0.8465 0.8390
O16 0.1747 0.2156 0.1774
O17 0.1535 0.1463 0.8390
O18 0.9189 0.6671 0.6775
O19 0.9026 0.5359 0.2294
O20 0.8473 0.5298 0.4073
O21 0.8986 0.5968 0.0572
O22 0.0409 0.8253 0.1774
O23 0.1535 0.0072 0.3390
O24 0.0160 0.5937 0.8441
O25 0.1747 0.9591 0.6774
O26 0.3329 0.2518 0.6775
O27 0.9026 0.3668 0.7294
O28 0.8986 0.3018 0.5572
O29 0.4702 0.3176 0.4073
O30 0.0160 0.4223 0.3441
O31 0.1273 0.7150 0.3392
O32 0.3329 0.0811 0.1775
O33 0.2013 0.6927 0.6811
O34 0.2850 0.8727 0.8392
O35 0.4702 0.1527 0.9073
O36 0.4032 0.1014 0.5572
O37 0.4641 0.0974 0.7294
O38 0.4063 0.9840 0.3441
O39 0.2013 0.5087 0.1811
O40 0.1273 0.4122 0.8392
O41 0.3073 0.7987 0.1811
O42 0.3333 0.6667 0.0308
O43 0.3333 0.6667 0.5308
O44 0.4913 0.7987 0.6811
O45 0.2850 0.4122 0.3392
O46 0.3073 0.5087 0.6811
O47 0.5777 0.9840 0.8441
O48 0.6332 0.0974 0.2294
O49 0.6982 0.1014 0.0572
O50 0.5878 0.8727 0.3392
O51 0.4913 0.6927 0.1811
O52 0.5878 0.7150 0.8392
O53 0.4063 0.4223 0.8441
O54 0.4032 0.3018 0.0572
O55 0.4641 0.3668 0.2294
O56 0.5777 0.5937 0.3441
O57 0.6982 0.5968 0.5572
O58 0.6332 0.5359 0.7294

- Energy above the lowest structure with this stoichiometry: 0.005 eV/atom
- Formation energy (no corrections): -2.53 eV/atom